[1]
Density functional theory data (PBE) for crystalline AcSmY3Ho at its relaxed geometry.

Results
The crystal system is monoclinic. As for the magnetization: 0.000 μB/f.u. The calculation puts the formation energy at 0.230 eV per atom.

abc: 5.693 10.585 7.305
angles: 89.63 90.00 105.60
Atoms (fractional coordinates):
Y 0.522 0.044 0.721
Y 0.780 0.560 0.753
Y 0.834 0.669 0.279
Y 0.220 0.440 0.247
Y 0.478 0.956 0.279
Y 0.166 0.331 0.721
Ac 0.643 0.286 0.028
Ac 0.357 0.714 0.972
Sm 0.057 0.114 0.296
Sm 0.943 0.886 0.704
Ho 0.652 0.305 0.465
Ho 0.348 0.695 0.535

=====

[2]
Density functional theory data (PBE) for crystalline Y2Mg2Cu3 at its relaxed geometry.

Results
The crystal system is monoclinic. As for the magnetization: 0.000 μB/f.u. The calculation puts the formation energy at -0.085 eV per atom.

abc: 7.703 7.703 13.450
angles: 52.56 52.56 28.60
Atoms (fractional coordinates):
Mg 0.075 0.075 0.689
Mg 0.461 0.461 0.631
Mg 0.925 0.925 0.311
Mg 0.539 0.539 0.369
Y 0.607 0.607 0.048
Y 0.247 0.247 0.315
Y 0.393 0.393 0.952
Y 0.753 0.753 0.685
Cu 0.312 0.312 0.489
Cu 0.084 0.084 0.886
Cu 0.153 0.153 0.180
Cu 0.847 0.847 0.820
Cu 0.688 0.688 0.511
Cu 0.916 0.916 0.114

=====

[3]
Density functional theory data (PBE) for crystalline CaMg2Te at its relaxed geometry.

Results
The crystal system is tetragonal. The uncorrected formation energy comes out at -0.47 eV/atom. As for the magnetization: 0.000 μB/f.u.

abc: 4.485 4.484 5.467
angles: 90.00 90.00 90.00
Atoms (fractional coordinates):
Ca 0.000 0.500 0.500
Mg 0.000 0.000 0.000
Mg 0.500 0.500 0.000
Te 0.500 0.000 0.500

=====

[4]
Density functional theory data (PBE) for crystalline ThTaBe2Ge2 at its relaxed geometry.

Results
The crystal system is trigonal. As for the magnetization: 0.000 μB/f.u. The calculation puts the formation energy at -0.362 eV per atom.

abc: 3.833 3.833 7.754
angles: 90.00 90.00 120.00
Atoms (fractional coordinates):
Th 0.000 0.000 0.000
Ge 0.667 0.333 0.277
Ge 0.333 0.667 0.723
Be 0.333 0.667 0.296
Be 0.667 0.333 0.704
Ta 0.000 0.000 0.500